(1)
# SrBeZn2O4

A relaxed structure of SrBeZn2O4 (PBE, Alexandria via LeMat-Bulk).

Calculated values
Formation energy without anion corrections ... -2005 meV per atom
V ... 93 Å³ per cell
Theoretical density ... 5.19 g cm⁻³

Cell lengths 5.155, 5.155, 5.062 Å; angles 120.61, 120.61, 90.00 degrees
Element x y z (fractional)
Sr 0.000 0.000 0.001
O 0.825 0.449 0.274
O 0.449 0.825 0.274
O 0.551 0.551 0.726
O 0.175 0.175 0.726
Be 0.500 0.500 0.000
Zn 0.750 0.250 0.500
Zn 0.250 0.750 0.500



(2)
# TmHg2

A relaxed structure of TmHg2 (PBE, Alexandria via LeMat-Bulk).

Calculated values
V ... 73 Å³ per cell
Theoretical density ... 12.96 g cm⁻³
E_form ... -318.0 meV per atom

Cell lengths 3.708, 3.708, 5.930 Å; angles 108.33, 108.33, 89.92 degrees
Element x y z (fractional)
Tm 0.500 0.500 0.000
Hg 0.833 0.833 0.667
Hg 0.167 0.167 0.333



(3)
# NdSiAg

A relaxed structure of NdSiAg (PBE, Alexandria via LeMat-Bulk).

Calculated values
Formation energy without anion corrections ... -487 meV per atom
V ... 67 Å³ per cell
Theoretical density ... 6.93 g cm⁻³

Cell lengths 3.902, 4.456, 4.456 Å; angles 120.00, 90.00, 90.00 degrees
Element x y z (fractional)
Ag 0.166 0.000 0.000
Nd 0.666 0.667 0.333
Si 0.167 0.333 0.667



(4)
# KSrTa3

A relaxed structure of KSrTa3 (PBE, Alexandria via LeMat-Bulk).

Calculated values
V ... 123 Å³ per cell
Theoretical density ... 9.05 g cm⁻³
E_form ... 2808.3 meV per atom

Cell lengths 4.972, 4.972, 4.972 Å; angles 90.00, 90.00, 90.00 degrees
Element x y z (fractional)
K 0.000 0.000 0.000
Ta 0.000 0.500 0.000
Ta 0.500 0.000 0.000
Ta 0.000 0.000 0.500
Sr 0.500 0.500 0.500



(5)
# RbAlSn2As

A relaxed structure of RbAlSn2As (PBE, Alexandria via LeMat-Bulk).

Calculated values
V ... 169 Å³ per cell
Theoretical density ... 4.18 g cm⁻³
E_form ... 301.4 meV per atom

Cell lengths 5.817, 4.986, 5.817 Å; angles 90.00, 90.00, 90.00 degrees
Element x y z (fractional)
Sn 0.000 0.000 0.500
As 0.000 0.000 0.000
Al 0.000 0.500 0.000
Rb 0.500 0.500 0.500
Sn 0.500 0.000 0.000



(6)
# Rb2Mg3TiF12

A relaxed structure of Rb2Mg3TiF12 (PBE, Alexandria via LeMat-Bulk).

Calculated values
Formation energy without anion corrections ... -3365 meV per atom
V ... 287 Å³ per cell
Theoretical density ... 3.01 g cm⁻³

Cell lengths 7.503, 7.503, 7.503 Å; angles 58.26, 58.26, 58.26 degrees
Element x y z (fractional)
Ti 0.000 0.000 0.000
F 0.680 0.680 0.072
F 0.680 0.072 0.680
F 0.928 0.320 0.320
Rb 0.400 0.400 0.400
F 0.065 0.065 0.697
Mg 0.000 0.500 0.000
F 0.065 0.697 0.065
F 0.303 0.935 0.935
Rb 0.600 0.600 0.600
F 0.697 0.065 0.065
F 0.320 0.320 0.928
F 0.935 0.935 0.303
F 0.072 0.680 0.680
Mg 0.500 0.000 0.000
F 0.320 0.928 0.320
F 0.935 0.303 0.935
Mg 0.000 0.000 0.500



(7)
# MgAl2Sb

A relaxed structure of MgAl2Sb (PBE, Alexandria via LeMat-Bulk).

Calculated values
Formation energy without anion corrections ... 51 meV per atom
V ... 84 Å³ per cell
Theoretical density ... 3.96 g cm⁻³

Cell lengths 3.166, 4.166, 6.353 Å; angles 90.00, 90.00, 90.00 degrees
Element x y z (fractional)
Mg 0.000 0.000 0.490
Al 0.500 0.500 0.227
Sb 0.500 0.500 0.749
Al 0.000 0.000 0.034



(8)
# RbTc3Ru

A relaxed structure of RbTc3Ru (PBE, Alexandria via LeMat-Bulk).

Calculated values
V ... 113 Å³ per cell
Theoretical density ... 7.08 g cm⁻³
E_form ... 1797.0 meV per atom

Cell lengths 4.831, 4.831, 4.831 Å; angles 90.00, 90.00, 90.00 degrees
Element x y z (fractional)
Rb 0.500 0.500 0.500
Tc 0.000 0.500 0.000
Tc 0.000 0.000 0.500
Tc 0.500 0.000 0.000
Ru 0.000 0.000 0.000